# Ce2BiF11 (PBE, optimized geometry)
# - DOS at the Fermi energy (states/eV per atom) = 0.00
# - formation energy without anion corrections (eV/f.u.) = -47.05
# - theoretical density (Mg/m³) = 4.68
data_Ce2BiF11
_space_group_name_H-M_alt 'I b a m'
_space_group_IT_number 72
_space_group_name_Hall '-I 2 2c'
_cell_length_a 8.4045
_cell_length_b 10.5190
_cell_length_c 11.2163
_cell_angle_alpha 90.00
_cell_angle_beta 90.00
_cell_angle_gamma 90.00
loop_
_atom_site_label
_atom_site_fract_x
_atom_site_fract_y
_atom_site_fract_z
Ce1 0.1455 0.1817 0.0000
Bi1 0.0000 0.5000 0.2500
F1 0.0000 0.0000 0.0000
F2 0.0960 0.3222 0.1413
F3 0.1268 0.2161 0.5000
F4 0.2212 0.4274 0.3645

# NaGa2Pt4 (PBE, optimized geometry)
# - DOS at the Fermi energy (states/eV per atom) = 0.30
# - energy relative to the elements (eV per atom) = -0.537
# - theoretical density (Mg/m³) = 12.76
data_NaGa2Pt4
_space_group_name_H-M_alt 'P 42/m n m'
_space_group_IT_number 136
_space_group_name_Hall '-P 4n 2n'
_cell_length_a 7.7866
_cell_length_b 7.7866
_cell_length_c 4.0459
_cell_angle_alpha 90.00
_cell_angle_beta 90.00
_cell_angle_gamma 90.00
loop_
_atom_site_label
_atom_site_fract_x
_atom_site_fract_y
_atom_site_fract_z
Na1 0.0000 0.0000 0.0000
Ga1 0.2279 0.2279 0.5000
Pt1 0.0850 0.6598 0.5000

Question: Which of these has the highest theoretical density?
Answer: NaGa2Pt4